First-principles (PBE-GGA) data for crystalline LaPmYTm at its relaxed geometry, as listed in Alexandria via LeMat-Bulk.

ΔE_f = 0.09 eV per atom
Spin magnetization = 0.00 μB per cell
Symmetry = F-43m (216)
E = -20.25 eV/f.u.
E above lowest polymorph = 0.00 kcal/mol of atoms
Volume = 33.84 A^3/atom

```
LaPmYTm
1.0
5.763 0.000 0.000
2.882 4.991 0.000
2.882 1.664 4.706
Y Tm La Pm
1 1 1 1
Direct
0.750 0.750 0.750 Y
0.250 0.250 0.250 Tm
0.000 0.000 0.000 La
0.500 0.500 0.500 Pm
```

***

First-principles (PBE-GGA) data for crystalline La2Pm6YTm at its relaxed geometry, as listed in Alexandria via LeMat-Bulk.

ΔE_f = 0.11 eV per atom
Spin magnetization = 0.00 μB per cell
Symmetry = C2/c (15)
E = -48.17 eV/f.u.
Volume = 34.56 A^3/atom

```
La2Pm6YTm
1.0
-4.188 -7.230 5.498
4.590 -5.580 -5.235
4.243 3.817 6.858
La Pm Y Tm
4 12 2 2
Direct
0.459 0.804 0.702 La
0.041 0.298 0.196 La
0.541 0.196 0.298 La
0.959 0.702 0.804 La
0.056 0.126 0.744 Pm
0.444 0.256 0.874 Pm
0.944 0.874 0.256 Pm
0.556 0.744 0.126 Pm
0.310 0.981 0.420 Pm
0.190 0.580 0.019 Pm
0.690 0.019 0.580 Pm
0.810 0.420 0.981 Pm
0.121 0.708 0.502 Pm
0.379 0.498 0.292 Pm
0.879 0.292 0.498 Pm
0.621 0.502 0.708 Pm
0.250 0.986 0.014 Y
0.750 0.014 0.986 Y
0.250 0.406 0.594 Tm
0.750 0.594 0.406 Tm
```

***

First-principles (PBE-GGA) data for crystalline La2PmYTm5 at its relaxed geometry, as listed in Alexandria via LeMat-Bulk.

ΔE_f = 0.26 eV per atom
Spin magnetization = 0.00 μB per cell
Symmetry = I4/mcm (140)
E = -41.13 eV/f.u.
Volume = 32.49 A^3/atom

```
La2PmYTm5
1.0
-7.224 -3.801 -2.868
4.348 -3.142 -6.789
3.190 -2.947 8.921
La Pm Y Tm
4 2 2 10
Direct
0.117 0.383 0.000 La
0.617 0.117 0.000 La
0.383 0.883 0.000 La
0.883 0.617 0.000 La
0.250 0.250 0.500 Pm
0.750 0.750 0.500 Pm
0.250 0.750 0.500 Y
0.750 0.250 0.500 Y
0.925 0.425 0.282 Tm
0.643 0.143 0.718 Tm
0.075 0.575 0.718 Tm
0.143 0.075 0.718 Tm
0.575 0.643 0.718 Tm
0.857 0.925 0.282 Tm
0.425 0.357 0.282 Tm
0.357 0.857 0.282 Tm
0.500 0.500 0.000 Tm
0.000 0.000 0.000 Tm
```

***

First-principles (PBE-GGA) data for crystalline LaPm2Y2Tm2 at its relaxed geometry, as listed in Alexandria via LeMat-Bulk.

ΔE_f = 0.09 eV per atom
Spin magnetization = 0.00 μB per cell
Symmetry = C2/m (12)
E = -35.65 eV/f.u.
Volume = 33.44 A^3/atom

```
LaPm2Y2Tm2
1.0
3.531 0.000 0.000
-1.765 5.597 1.837
0.000 0.049 11.862
La Pm Y Tm
1 2 2 2
Direct
0.000 0.000 0.500 La
0.673 0.346 0.915 Pm
0.327 0.654 0.085 Pm
0.451 0.903 0.774 Y
0.549 0.097 0.226 Y
0.774 0.549 0.362 Tm
0.226 0.451 0.638 Tm
```

***

First-principles (PBE-GGA) data for crystalline LaPm6Y2Tm at its relaxed geometry, as listed in Alexandria via LeMat-Bulk.

ΔE_f = 0.12 eV per atom
Spin magnetization = 0.00 μB per cell
Symmetry = C2/c (15)
E = -49.64 eV/f.u.
Volume = 34.25 A^3/atom

```
LaPm6Y2Tm
1.0
-1.967 7.562 -5.686
4.784 -4.235 -6.290
-8.612 -2.333 0.874
La Pm Y Tm
2 12 4 2
Direct
0.250 0.407 0.593 La
0.750 0.593 0.407 La
0.056 0.111 0.762 Pm
0.444 0.238 0.889 Pm
0.944 0.889 0.238 Pm
0.556 0.762 0.111 Pm
0.317 0.982 0.434 Pm
0.183 0.566 0.018 Pm
0.683 0.018 0.566 Pm
0.817 0.434 0.982 Pm
0.119 0.706 0.486 Pm
0.381 0.514 0.294 Pm
0.881 0.294 0.514 Pm
0.619 0.486 0.706 Pm
0.453 0.805 0.709 Y
0.047 0.291 0.195 Y
0.547 0.195 0.291 Y
0.953 0.709 0.805 Y
0.250 0.967 0.033 Tm
0.750 0.033 0.967 Tm
```

***

First-principles (PBE-GGA) data for crystalline La3Pm6YTm2 at its relaxed geometry, as listed in Alexandria via LeMat-Bulk.

ΔE_f = 0.02 eV per atom
Spin magnetization = 0.00 μB per cell
Symmetry = C2/m (12)
E = -58.42 eV/f.u.
Volume = 34.15 A^3/atom

```
La3Pm6YTm2
1.0
-0.782 6.017 -1.753
-1.630 -1.836 5.820
11.735 1.147 2.503
La Pm Y Tm
3 6 1 2
Direct
0.167 0.833 0.500 La
0.833 0.167 0.500 La
0.500 0.500 0.500 La
0.919 0.584 0.757 Pm
0.747 0.747 0.243 Pm
0.081 0.416 0.243 Pm
0.584 0.919 0.757 Pm
0.253 0.253 0.757 Pm
0.416 0.081 0.243 Pm
0.000 0.000 0.000 Y
0.333 0.667 0.000 Tm
0.667 0.333 0.000 Tm
```

***

First-principles (PBE-GGA) data for crystalline LaPm6Y3Tm2 at its relaxed geometry, as listed in Alexandria via LeMat-Bulk.

ΔE_f = 0.02 eV per atom
Spin magnetization = 0.00 μB per cell
Symmetry = C2/m (12)
E = -61.55 eV/f.u.
Volume = 33.28 A^3/atom

```
LaPm6Y3Tm2
1.0
6.266 -0.001 0.017
-3.132 5.427 0.017
-1.076 -1.863 11.733
La Pm Y Tm
1 6 3 2
Direct
0.000 0.000 0.000 La
0.916 0.581 0.750 Pm
0.749 0.749 0.251 Pm
0.084 0.419 0.250 Pm
0.581 0.916 0.750 Pm
0.251 0.251 0.749 Pm
0.419 0.084 0.250 Pm
0.167 0.833 0.500 Y
0.833 0.167 0.500 Y
0.500 0.500 0.500 Y
0.334 0.666 0.000 Tm
0.666 0.334 0.000 Tm
```

***

First-principles (PBE-GGA) data for crystalline La2Pm6Y3Tm at its relaxed geometry, as listed in Alexandria via LeMat-Bulk.

ΔE_f = 0.02 eV per atom
Spin magnetization = 0.00 μB per cell
Symmetry = C2/m (12)
E = -62.01 eV/f.u.
Volume = 33.94 A^3/atom

```
La2Pm6Y3Tm
1.0
6.302 -0.002 0.001
-3.151 5.458 0.001
-1.056 -1.829 11.844
La Pm Y Tm
2 6 3 1
Direct
0.333 0.667 0.000 La
0.667 0.333 0.000 La
0.916 0.584 0.747 Pm
0.753 0.753 0.253 Pm
0.084 0.416 0.253 Pm
0.584 0.916 0.747 Pm
0.247 0.247 0.747 Pm
0.416 0.084 0.253 Pm
0.166 0.834 0.500 Y
0.834 0.166 0.500 Y
0.500 0.500 0.500 Y
0.000 0.000 0.000 Tm
```

***

First-principles (PBE-GGA) data for crystalline La2Pm4YTm2 at its relaxed geometry, as listed in Alexandria via LeMat-Bulk.

ΔE_f = 0.03 eV per atom
Spin magnetization = 0.00 μB per cell
Symmetry = C2/m (12)
E = -44.01 eV/f.u.
Volume = 33.83 A^3/atom

```
La2Pm4YTm2
1.0
-2.487 -3.830 -2.377
5.831 2.762 -4.975
3.392 -5.327 5.034
La Pm Y Tm
2 4 1 2
Direct
0.889 0.777 0.331 La
0.111 0.223 0.669 La
0.779 0.559 0.671 Pm
0.221 0.441 0.329 Pm
0.556 0.112 0.331 Pm
0.444 0.888 0.669 Pm
0.000 0.000 0.000 Y
0.333 0.666 0.999 Tm
0.667 0.334 0.001 Tm
```

***

First-principles (PBE-GGA) data for crystalline LaPmY2Tm2 at its relaxed geometry, as listed in Alexandria via LeMat-Bulk.

ΔE_f = 0.27 eV per atom
Spin magnetization = 0.00 μB per cell
Symmetry = Pnnm (58)
E = -29.93 eV/f.u.
Volume = 33.57 A^3/atom

```
LaPmY2Tm2
1.0
-2.632 0.118 -2.167
-3.286 -4.214 3.762
-7.041 13.798 9.303
La Pm Y Tm
2 2 4 4
Direct
0.000 0.000 0.000 La
0.500 0.500 0.500 La
0.500 0.500 0.000 Pm
0.000 0.000 0.500 Pm
0.500 0.717 0.310 Y
0.500 0.283 0.690 Y
0.000 0.783 0.810 Y
0.000 0.217 0.190 Y
0.500 0.215 0.352 Tm
0.000 0.715 0.148 Tm
0.500 0.785 0.648 Tm
0.000 0.285 0.852 Tm
```

***

First-principles (PBE-GGA) data for crystalline LaPmY5Tm2 at its relaxed geometry, as listed in Alexandria via LeMat-Bulk.

ΔE_f = 0.16 eV per atom
Spin magnetization = 0.00 μB per cell
Symmetry = Cmc2_1 (36)
E = -49.52 eV/f.u.
Volume = 33.38 A^3/atom

```
LaPmY5Tm2
1.0
-5.531 -1.494 0.436
4.248 -1.718 10.153
-2.266 9.115 2.490
La Pm Y Tm
2 2 10 4
Direct
0.596 0.192 0.918 La
0.404 0.808 0.418 La
0.808 0.615 0.522 Pm
0.192 0.385 0.022 Pm
0.392 0.785 0.038 Y
0.733 0.466 0.836 Y
0.471 0.941 0.744 Y
0.306 0.613 0.718 Y
0.988 0.976 0.520 Y
0.608 0.215 0.538 Y
0.267 0.534 0.336 Y
0.529 0.059 0.244 Y
0.694 0.387 0.218 Y
0.012 0.024 0.020 Y
0.887 0.775 0.825 Tm
0.135 0.271 0.703 Tm
0.113 0.225 0.325 Tm
0.865 0.729 0.203 Tm
```

***

First-principles (PBE-GGA) data for crystalline La2Pm3YTm6 at its relaxed geometry, as listed in Alexandria via LeMat-Bulk.

ΔE_f = 0.02 eV per atom
Spin magnetization = 0.00 μB per cell
Symmetry = C2/m (12)
E = -57.16 eV/f.u.
Volume = 32.24 A^3/atom

```
La2Pm3YTm6
1.0
-1.129 5.835 -1.808
-4.717 -3.748 1.514
2.655 2.852 11.092
La Pm Y Tm
2 3 1 6
Direct
0.334 0.666 0.000 La
0.666 0.334 0.000 La
0.167 0.833 0.500 Pm
0.833 0.167 0.500 Pm
0.500 0.500 0.500 Pm
0.000 0.000 0.000 Y
0.916 0.583 0.748 Tm
0.752 0.752 0.252 Tm
0.084 0.417 0.252 Tm
0.583 0.916 0.748 Tm
0.248 0.248 0.748 Tm
0.417 0.084 0.252 Tm
```

***

First-principles (PBE-GGA) data for crystalline La2Pm4Y2Tm at its relaxed geometry, as listed in Alexandria via LeMat-Bulk.

ΔE_f = 0.01 eV per atom
Spin magnetization = 0.00 μB per cell
Symmetry = C2/m (12)
E = -46.21 eV/f.u.
Volume = 34.08 A^3/atom

```
La2Pm4Y2Tm
1.0
-1.381 -3.334 -0.701
9.182 -2.221 2.106
-5.919 0.835 7.688
La Pm Y Tm
2 4 2 1
Direct
0.335 0.671 0.001 La
0.665 0.329 0.999 La
0.814 0.629 0.665 Pm
0.186 0.371 0.335 Pm
0.519 0.038 0.334 Pm
0.481 0.962 0.666 Pm
0.853 0.706 0.335 Y
0.147 0.294 0.665 Y
0.000 0.000 0.000 Tm
```

***

First-principles (PBE-GGA) data for crystalline La2PmY2Tm at its relaxed geometry, as listed in Alexandria via LeMat-Bulk.

ΔE_f = 0.25 eV per atom
Spin magnetization = 0.00 μB per cell
Symmetry = Pnnm (58)
E = -30.51 eV/f.u.
Volume = 34.20 A^3/atom

```
La2PmY2Tm
1.0
3.400 0.000 0.000
0.000 6.784 0.000
0.000 0.000 17.795
La Pm Y Tm
4 2 4 2
Direct
0.500 0.244 0.347 La
0.000 0.744 0.153 La
0.500 0.756 0.653 La
0.000 0.256 0.847 La
0.500 0.500 0.000 Pm
0.000 0.000 0.500 Pm
0.500 0.751 0.328 Y
0.500 0.249 0.672 Y
0.000 0.749 0.828 Y
0.000 0.251 0.172 Y
0.000 0.000 0.000 Tm
0.500 0.500 0.500 Tm
```

***

First-principles (PBE-GGA) data for crystalline La6PmYTm2 at its relaxed geometry, as listed in Alexandria via LeMat-Bulk.

ΔE_f = 0.10 eV per atom
Spin magnetization = 0.00 μB per cell
Symmetry = C2/c (15)
E = -48.70 eV/f.u.
Volume = 35.09 A^3/atom

```
La6PmYTm2
1.0
9.368 -2.106 -2.185
0.762 8.762 -2.071
0.762 -2.394 8.679
La Pm Y Tm
12 2 2 4
Direct
0.052 0.108 0.760 La
0.448 0.240 0.892 La
0.948 0.892 0.240 La
0.552 0.760 0.108 La
0.310 0.992 0.439 La
0.190 0.561 0.008 La
0.690 0.008 0.561 La
0.810 0.439 0.992 La
0.122 0.705 0.492 La
0.378 0.508 0.295 La
0.878 0.295 0.508 La
0.622 0.492 0.705 La
0.250 0.409 0.591 Pm
0.750 0.591 0.409 Pm
0.250 0.973 0.027 Y
0.750 0.027 0.973 Y
0.454 0.805 0.709 Tm
0.046 0.291 0.195 Tm
0.546 0.195 0.291 Tm
0.954 0.709 0.805 Tm
```

***

First-principles (PBE-GGA) data for crystalline LaPmTmZn at its relaxed geometry, as listed in Alexandria via LeMat-Bulk.

ΔE_f = -0.15 eV per atom
Spin magnetization = 0.00 μB per cell
Symmetry = P4mm (99)
E = -16.02 eV/f.u.
E above lowest polymorph = 0.00 kcal/mol of atoms
Volume = 28.92 A^3/atom

```
LaPmTmZn
1.0
-3.115 0.946 1.589
-1.287 -3.344 -0.534
3.232 -2.491 7.816
La Pm Tm Zn
1 1 1 1
Direct
0.000 0.000 0.081 La
0.500 0.500 0.773 Pm
0.500 0.500 0.373 Tm
0.000 0.000 0.557 Zn
```

***

First-principles (PBE-GGA) data for crystalline LaPmTmZn at its relaxed geometry, as listed in Alexandria via LeMat-Bulk.

ΔE_f = 0.00 eV per atom
Spin magnetization = 0.00 μB per cell
Symmetry = F-43m (216)
E = -15.41 eV/f.u.
E above lowest polymorph = 3.52 kcal/mol of atoms
Volume = 28.70 A^3/atom

```
LaPmTmZn
1.0
5.455 0.000 0.000
2.728 4.724 0.000
2.728 1.575 4.454
Zn Tm La Pm
1 1 1 1
Direct
0.000 0.000 0.000 Zn
0.500 0.500 0.500 Tm
0.750 0.750 0.750 La
0.250 0.250 0.250 Pm
```

***

First-principles (PBE-GGA) data for crystalline LaPmTmZr at its relaxed geometry, as listed in Alexandria via LeMat-Bulk.

ΔE_f = 0.24 eV per atom
Spin magnetization = 1.20 μB per cell
Symmetry = F-43m (216)
E = -21.73 eV/f.u.
Volume = 30.57 A^3/atom

```
LaPmTmZr
1.0
5.571 0.000 0.000
2.786 4.825 0.000
2.786 1.608 4.549
Tm La Zr Pm
1 1 1 1
Direct
0.500 0.500 0.500 Tm
0.750 0.750 0.750 La
0.250 0.250 0.250 Zr
0.000 0.000 0.000 Pm
```

***

First-principles (PBE-GGA) data for crystalline La2PmV at its relaxed geometry, as listed in Alexandria via LeMat-Bulk.

ΔE_f = 0.61 eV per atom
Spin magnetization = 2.90 μB per cell
Symmetry = R-3m (166)
E = -21.28 eV/f.u.
Volume = 30.58 A^3/atom

```
La2PmV
1.0
-2.849 -1.287 1.470
-2.443 -1.462 -1.956
3.582 -11.413 1.008
V La Pm
1 2 1
Direct
0.000 0.000 0.000 V
0.077 0.077 0.768 La
0.923 0.923 0.232 La
0.500 0.500 0.500 Pm
```

***

First-principles (PBE-GGA) data for crystalline La5Pm8Y at its relaxed geometry, as listed in Alexandria via LeMat-Bulk.

ΔE_f = 0.22 eV per atom
Spin magnetization = 0.00 μB per cell
Symmetry = I-4 (82)
E = -66.01 eV/f.u.
Volume = 35.67 A^3/atom

```
La5Pm8Y
1.0
8.244 0.000 -2.656
-4.198 6.956 -3.002
0.152 0.000 8.660
La Pm Y
5 8 1
Direct
0.030 0.322 0.137 La
0.863 0.893 0.185 La
0.815 0.678 0.708 La
0.500 0.000 0.500 La
0.292 0.107 0.970 La
0.177 0.741 0.077 Pm
0.923 0.100 0.664 Pm
0.730 0.256 0.330 Pm
0.670 0.400 0.926 Pm
0.526 0.600 0.270 Pm
0.563 0.900 0.823 Pm
0.336 0.259 0.437 Pm
0.074 0.744 0.474 Pm
0.250 0.500 0.750 Y
```

***

First-principles (PBE-GGA) data for crystalline La3Pm4Y5 at its relaxed geometry, as listed in Alexandria via LeMat-Bulk.

ΔE_f = 0.22 eV per atom
Spin magnetization = 0.22 μB per cell
Symmetry = C2/m (12)
E = -63.42 eV/f.u.
E above lowest polymorph = 4.74 kcal/mol of atoms
Volume = 34.85 A^3/atom

```
La3Pm4Y5
1.0
6.049 0.000 0.000
3.024 7.697 -2.739
3.024 -0.897 9.303
La Pm Y
3 4 5
Direct
0.519 0.689 0.272 La
0.000 0.500 0.500 La
0.481 0.311 0.728 La
0.861 0.222 0.056 Pm
0.170 0.039 0.622 Pm
0.830 0.961 0.378 Pm
0.139 0.778 0.944 Pm
0.627 0.946 0.801 Y
0.500 0.500 0.500 Y
0.219 0.452 0.109 Y
0.781 0.548 0.891 Y
0.373 0.054 0.199 Y
```